Material: Li4P2PdAu
Method: DFT, PBE
State: relaxed

The structure in CIF format:
```
data_Li4P2PdAu
_symmetry_space_group_name_H-M 'P -4 m 2'
_symmetry_Int_Tables_number 115
_symmetry_space_group_name_Hall 'P -4 -2'
_cell_length_a 4.209
_cell_length_b 4.209
_cell_length_c 5.991
_cell_angle_alpha 90.00
_cell_angle_beta 90.00
_cell_angle_gamma 90.00
loop_
_atom_site_label
_atom_site_fract_x
_atom_site_fract_y
_atom_site_fract_z
Li1 0.000 0.000 0.000
Li2 0.000 0.500 0.244
Li3 0.500 0.500 0.500
P1 0.000 0.500 0.763
Pd1 0.500 0.500 0.000
Au1 0.000 0.000 0.500
```

=====

Material: PrYBiI2
Method: DFT, PBE
State: relaxed

The structure in CIF format:
```
data_PrYBiI2
_symmetry_space_group_name_H-M 'P 3 m 1'
_symmetry_Int_Tables_number 156
_symmetry_space_group_name_Hall 'P 3 -2"'
_cell_length_a 4.4629
_cell_length_b 4.4629
_cell_length_c 11.4997
_cell_angle_alpha 90.00
_cell_angle_beta 90.00
_cell_angle_gamma 120.00
loop_
_atom_site_label
_atom_site_fract_x
_atom_site_fract_y
_atom_site_fract_z
Pr1 0.0000 0.0000 0.0000
Y1 0.6667 0.3333 0.6897
Bi1 0.3333 0.6667 0.8364
I1 0.0000 0.0000 0.5258
I2 0.6667 0.3333 0.1749
```

=====

Material: Gd3Si2Ag4Ge2
Method: DFT, PBE
State: relaxed

The structure in CIF format:
```
data_Gd3Si2Ag4Ge2
_symmetry_space_group_name_H-M 'I m m m'
_symmetry_Int_Tables_number 71
_symmetry_space_group_name_Hall '-I 2 2'
_cell_length_a 4.363
_cell_length_b 7.101
_cell_length_c 14.426
_cell_angle_alpha 90.00
_cell_angle_beta 90.00
_cell_angle_gamma 90.00
loop_
_atom_site_label
_atom_site_fract_x
_atom_site_fract_y
_atom_site_fract_z
Gd1 0.000 0.000 0.000
Gd2 0.000 0.500 0.126
Si1 0.000 0.173 0.500
Ag1 0.000 0.303 0.336
Ge1 0.000 0.000 0.217
```

=====

Material: Ba2GaOsS6
Method: DFT, PBE
State: relaxed

The structure in CIF format:
```
data_Ba2GaOsS6
_symmetry_space_group_name_H-M 'F m -3 m'
_symmetry_Int_Tables_number 225
_symmetry_space_group_name_Hall '-F 4 2 3'
_cell_length_a 9.656
_cell_length_b 9.656
_cell_length_c 9.656
_cell_angle_alpha 90.00
_cell_angle_beta 90.00
_cell_angle_gamma 90.00
loop_
_atom_site_label
_atom_site_fract_x
_atom_site_fract_y
_atom_site_fract_z
Ba1 0.250 0.250 0.250
Ga1 0.000 0.000 0.000
Os1 0.000 0.000 0.500
S1 0.000 0.000 0.253
```

=====

Material: Ni10Te
Method: DFT, PBE
State: relaxed

The structure in CIF format:
```
data_Ni10Te
_symmetry_space_group_name_H-M 'C 1 2/m 1'
_symmetry_Int_Tables_number 12
_symmetry_space_group_name_Hall '-C 2y'
_cell_length_a 7.763
_cell_length_b 3.547
_cell_length_c 29.520
_cell_angle_alpha 90.00
_cell_angle_beta 90.07
_cell_angle_gamma 90.00
loop_
_atom_site_label
_atom_site_fract_x
_atom_site_fract_y
_atom_site_fract_z
Ni1 0.048 0.000 0.226
Ni2 0.049 0.500 0.093
Ni3 0.051 0.000 0.960
Ni4 0.052 0.500 0.828
Ni5 0.148 0.000 0.145
Ni6 0.150 0.500 0.013
Ni7 0.150 0.500 0.746
Ni8 0.152 0.000 0.881
Ni9 0.249 0.000 0.066
Ni10 0.249 0.500 0.198
Te1 0.154 0.500 0.286
```

=====

Material: AcReSb
Method: DFT, PBE
State: relaxed

The structure in CIF format:
```
data_AcReSb
_symmetry_space_group_name_H-M 'F -4 3 m'
_symmetry_Int_Tables_number 216
_symmetry_space_group_name_Hall 'F -4 2 3'
_cell_length_a 7.402
_cell_length_b 7.402
_cell_length_c 7.402
_cell_angle_alpha 90.00
_cell_angle_beta 90.00
_cell_angle_gamma 90.00
loop_
_atom_site_label
_atom_site_fract_x
_atom_site_fract_y
_atom_site_fract_z
Ac1 0.000 0.000 0.000
Re1 0.250 0.250 0.750
Sb1 0.250 0.250 0.250
```

=====

Material: Er3Mg3CdIr2
Method: DFT, PBE
State: relaxed

The structure in CIF format:
```
data_Er3Mg3CdIr2
_symmetry_space_group_name_H-M 'P -6 2 m'
_symmetry_Int_Tables_number 189
_symmetry_space_group_name_Hall 'P -6 -2'
_cell_length_a 7.3702
_cell_length_b 7.3702
_cell_length_c 4.1034
_cell_angle_alpha 90.00
_cell_angle_beta 90.00
_cell_angle_gamma 120.00
loop_
_atom_site_label
_atom_site_fract_x
_atom_site_fract_y
_atom_site_fract_z
Er1 0.0000 0.5735 0.0000
Mg1 0.0000 0.2577 0.5000
Cd1 0.0000 0.0000 0.0000
Ir1 0.3333 0.6667 0.5000
```

=====

Material: Li2GaAg2GeAu2
Method: DFT, PBE
State: relaxed

The structure in CIF format:
```
data_Li2GaAg2GeAu2
_symmetry_space_group_name_H-M 'P -4 m 2'
_symmetry_Int_Tables_number 115
_symmetry_space_group_name_Hall 'P -4 -2'
_cell_length_a 4.492
_cell_length_b 4.492
_cell_length_c 6.476
_cell_angle_alpha 90.00
_cell_angle_beta 90.00
_cell_angle_gamma 90.00
loop_
_atom_site_label
_atom_site_fract_x
_atom_site_fract_y
_atom_site_fract_z
Li1 0.000 0.000 0.000
Li2 0.500 0.500 0.500
Ga1 0.000 0.000 0.500
Ag1 0.000 0.500 0.747
Ge1 0.500 0.500 0.000
Au1 0.000 0.500 0.257
```

=====

Material: PaOsNO
Method: DFT, PBE
State: relaxed

The structure in CIF format:
```
data_PaOsNO
_symmetry_space_group_name_H-M 'P 4/n m m'
_symmetry_Int_Tables_number 129
_cell_length_a 4.904
_cell_length_b 4.904
_cell_length_c 4.411
_cell_angle_alpha 90.00
_cell_angle_beta 90.00
_cell_angle_gamma 90.00
loop_
_symmetry_equiv_pos_as_xyz
'x,y,z'
'-x,-y,-z'
'-y+1/2,x,z'
'y+1/2,-x,-z'
'-x+1/2,-y+1/2,z'
'x+1/2,y+1/2,-z'
'y,-x+1/2,z'
'-y,x+1/2,-z'
'x+1/2,-y,-z'
'-x+1/2,y,z'
'-y,-x,-z'
'y,x,z'
'-x,y+1/2,-z'
'x,-y+1/2,z'
'y+1/2,x+1/2,-z'
'-y+1/2,-x+1/2,z'
loop_
_atom_site_label
_atom_site_fract_x
_atom_site_fract_y
_atom_site_fract_z
Pa1 0.250 0.750 0.000
Os1 0.250 0.250 0.418
N1 0.250 0.250 0.925
O1 0.250 0.750 0.500
```

=====

Material: LuZnCuNi
Method: DFT, PBE
State: relaxed

The structure in CIF format:
```
data_LuZnCuNi
_symmetry_space_group_name_H-M 'F -4 3 m'
_symmetry_Int_Tables_number 216
_symmetry_space_group_name_Hall 'F -4 2 3'
_cell_length_a 6.290
_cell_length_b 6.290
_cell_length_c 6.290
_cell_angle_alpha 90.00
_cell_angle_beta 90.00
_cell_angle_gamma 90.00
loop_
_atom_site_label
_atom_site_fract_x
_atom_site_fract_y
_atom_site_fract_z
Lu1 0.000 0.000 0.000
Zn1 0.250 0.250 0.250
Cu1 0.250 0.250 0.750
Ni1 0.000 0.000 0.500
```

Energy relative to the elements ... -0.173 eV/atom

=====

Material: SrCoGe2Ir
Method: DFT, PBE
State: relaxed

The structure in CIF format:
```
data_SrCoGe2Ir
_symmetry_space_group_name_H-M 'I -4 m 2'
_symmetry_Int_Tables_number 119
_symmetry_space_group_name_Hall 'I -4 -2'
_cell_length_a 4.148
_cell_length_b 4.148
_cell_length_c 10.799
_cell_angle_alpha 90.00
_cell_angle_beta 90.00
_cell_angle_gamma 90.00
loop_
_atom_site_label
_atom_site_fract_x
_atom_site_fract_y
_atom_site_fract_z
Sr1 0.000 0.000 0.000
Co1 0.000 0.500 0.750
Ge1 0.000 0.000 0.368
Ir1 0.000 0.500 0.250
```

=====

Material: Ba2YTcN6
Method: DFT, PBE
State: relaxed

The structure in CIF format:
```
data_Ba2YTcN6
_symmetry_space_group_name_H-M 'I 4/m'
_symmetry_Int_Tables_number 87
_symmetry_space_group_name_Hall '-I 4'
_cell_length_a 6.061
_cell_length_b 6.061
_cell_length_c 8.577
_cell_angle_alpha 90.00
_cell_angle_beta 90.00
_cell_angle_gamma 90.00
loop_
_atom_site_label
_atom_site_fract_x
_atom_site_fract_y
_atom_site_fract_z
Ba1 0.000 0.500 0.250
Y1 0.000 0.000 0.000
Tc1 0.000 0.000 0.500
N1 0.000 0.000 0.270
N2 0.224 0.236 0.500
```

=====

Computed total energy, in the same sequence as the records: -3.94; -4.86; -4.65; -5.08; -5.37; -5.50; -4.61; -3.26; -8.70; -3.94; -5.91; -7.10 eV per atom.